{"formula": "Li2CaFe", "functional": "meta-GGA SCAN", "state": "PBEsol geometry", "cell": [[3.459, 0.000, 0.000], [0.000, 4.643, 0.000], [0.000, 0.000, 4.990]], "species": ["Ca", "Fe", "Li", "Li"], "fractional_positions": [[0.500, 0.000, 0.500], [0.000, 0.500, 0.500], [0.000, 0.000, 0.000], [0.500, 0.500, 0.000]], "energy_ev_per_atom": -7.740, "de_polymorph_mev_per_atom": 14, "e_form_ev_per_atom": 0.4031, "sg": "Pmmm, No. 47"}


{"formula": "SiRuPt", "functional": "meta-GGA SCAN", "state": "PBEsol geometry", "cell": [[4.094, 0.000, 0.000], [2.047, 3.545, 0.000], [2.047, 1.182, 3.342]], "species": ["Pt", "Ru", "Si"], "fractional_positions": [[0.500, 0.500, 0.500], [0.250, 0.250, 0.250], [0.000, 0.000, 0.000]], "energy_ev_per_atom": -38.338, "de_polymorph_mev_per_atom": 676, "formation_energy_uncorrected_ev_per_atom": 0.01, "sg": "F-43m, No. 216"}


{"formula": "KGe2Br", "functional": "meta-GGA SCAN", "state": "PBEsol geometry", "cell": [[5.229, 0.000, 0.000], [2.614, 4.528, 0.000], [2.614, 1.509, 4.269]], "species": ["Ge", "Ge", "K", "Br"], "fractional_positions": [[0.250, 0.250, 0.250], [0.750, 0.750, 0.750], [0.000, 0.000, 0.000], [0.500, 0.500, 0.500]], "energy_ev_per_atom": -15.911, "formation_energy_uncorrected_ev_per_atom": 0.58, "sg": "Fm-3m, No. 225"}


{"formula": "ZrScTl2", "functional": "meta-GGA SCAN", "state": "PBEsol geometry", "cell": [[3.461, 0.000, 0.000], [0.000, 4.334, 0.000], [0.000, 0.000, 6.141]], "species": ["Sc", "Tl", "Tl", "Zr"], "fractional_positions": [[0.500, 0.500, 0.755], [0.000, 0.000, 0.985], [0.500, 0.500, 0.266], [0.000, 0.000, 0.495]], "energy_ev_per_atom": -47.548, "e_form_ev_per_atom": -0.1352, "sg": "Pmm2, No. 25"}


{"formula": "KRuPt2", "functional": "meta-GGA SCAN", "state": "PBEsol geometry", "cell": [[-2.037, 3.564, -0.727], [-2.027, -1.804, -3.166], [-0.763, -1.984, 4.365]], "species": ["K", "Pt", "Pt", "Ru"], "fractional_positions": [[0.000, 0.000, 0.000], [0.750, 0.250, 0.500], [0.250, 0.750, 0.500], [0.500, 0.500, 0.000]], "energy_ev_per_atom": -45.051, "de_polymorph_mev_per_atom": 483, "e_form_ev_per_atom": 0.8348, "sg": "I4/mmm, No. 139"}


{"formula": "LiIF2", "functional": "meta-GGA SCAN", "state": "PBEsol geometry", "cell": [[-2.634, 1.778, -0.931], [-2.771, -0.074, 1.811], [0.688, 6.373, 4.338]], "species": ["I", "F", "F", "Li"], "fractional_positions": [[0.500, 0.500, 0.500], [0.925, 0.925, 0.225], [0.075, 0.075, 0.775], [0.000, 0.000, 0.000]], "energy_ev_per_atom": -12.846, "formation_energy_uncorrected_ev_per_atom": -1.29, "sg": "R-3m, No. 166"}


{"formula": "Ca7CoN6", "functional": "meta-GGA SCAN", "state": "PBEsol geometry", "cell": [[-2.833, -5.110, 1.953], [-1.931, -2.804, -10.142], [11.081, -6.286, -0.372]], "species": ["Ca", "Ca", "Ca", "Ca", "Ca", "Ca", "Ca", "Ca", "Ca", "Ca", "Ca", "Ca", "Ca", "Ca", "Ca", "Ca", "Ca", "Ca", "Ca", "Ca", "Ca", "Ca", "Ca", "Ca", "Ca", "Ca", "Ca", "Ca", "Co", "Co", "Co", "Co", "N", "N", "N", "N", "N", "N", "N", "N", "N", "N", "N", "N", "N", "N", "N", "N", "N", "N", "N", "N", "N", "N", "N", "N"], "fractional_positions": [[0.269, 0.961, 0.024], [0.231, 0.539, 0.524], [0.231, 0.461, 0.976], [0.269, 0.039, 0.476], [0.731, 0.039, 0.976], [0.769, 0.461, 0.476], [0.769, 0.539, 0.024], [0.731, 0.961, 0.524], [0.141, 0.772, 0.374], [0.359, 0.728, 0.874], [0.359, 0.272, 0.626], [0.141, 0.228, 0.126], [0.859, 0.228, 0.626], [0.641, 0.272, 0.126], [0.641, 0.728, 0.374], [0.859, 0.772, 0.874], [0.389, 0.702, 0.124], [0.111, 0.798, 0.624], [0.111, 0.202, 0.876], [0.389, 0.298, 0.376], [0.611, 0.298, 0.876], [0.889, 0.202, 0.376], [0.889, 0.798, 0.124], [0.611, 0.702, 0.624], [0.557, 0.000, 0.250], [0.943, 0.500, 0.750], [0.443, 0.000, 0.750], [0.057, 0.500, 0.250], [0.067, 0.000, 0.250], [0.433, 0.500, 0.750], [0.933, 0.000, 0.750], [0.567, 0.500, 0.250], [0.244, 0.872, 0.210], [0.256, 0.628, 0.710], [0.256, 0.372, 0.790], [0.244, 0.128, 0.290], [0.756, 0.128, 0.790], [0.744, 0.372, 0.290], [0.744, 0.628, 0.210], [0.756, 0.872, 0.710], [0.406, 0.833, 0.499], [0.094, 0.667, 0.999], [0.094, 0.333, 0.501], [0.406, 0.167, 0.001], [0.594, 0.167, 0.501], [0.906, 0.333, 0.001], [0.906, 0.667, 0.499], [0.594, 0.833, 0.999], [0.387, 0.551, 0.354], [0.113, 0.949, 0.854], [0.113, 0.051, 0.646], [0.387, 0.449, 0.146], [0.613, 0.449, 0.646], [0.887, 0.051, 0.146], [0.887, 0.949, 0.354], [0.613, 0.551, 0.854]], "energy_ev_per_atom": -10.892, "formation_energy_uncorrected_ev_per_atom": -0.84, "sg": "Pbcn, No. 60"}


{"formula": "Co3Cu", "functional": "meta-GGA SCAN", "state": "PBEsol geometry", "cell": [[-1.031, 1.840, 1.248], [-1.760, -1.516, 0.782], [3.906, -1.631, 5.631]], "species": ["Co", "Co", "Co", "Cu"], "fractional_positions": [[0.000, 0.000, 0.759], [0.000, 0.000, 0.241], [0.500, 0.500, 0.000], [0.500, 0.500, 0.500]], "energy_ev_per_atom": -16.694, "e_form_ev_per_atom": 0.0845, "sg": "P4/mmm, No. 123"}


{"formula": "CaLaPt4", "functional": "meta-GGA SCAN", "state": "PBEsol geometry", "cell": [[-4.172, 1.323, 3.202], [0.255, -0.977, 5.328], [0.464, 4.122, 3.494]], "species": ["Ca", "Pt", "Pt", "Pt", "Pt", "La"], "fractional_positions": [[0.750, 0.750, 0.750], [0.375, 0.375, 0.375], [0.375, 0.375, 0.874], [0.874, 0.375, 0.375], [0.375, 0.874, 0.375], [0.000, 0.000, 0.000]], "energy_ev_per_atom": -56.786, "e_form_ev_per_atom": -1.1963, "sg": "F-43m, No. 216"}


{"formula": "ReTcW2", "functional": "meta-GGA SCAN", "state": "PBEsol geometry", "cell": [[-2.328, 2.060, 0.131], [-1.723, -2.165, 3.409], [4.386, 2.543, 1.005]], "species": ["Re", "Tc", "W", "W"], "fractional_positions": [[0.493, 0.493, 0.985], [0.256, 0.756, 0.511], [0.006, 0.006, 0.011], [0.746, 0.246, 0.492]], "energy_ev_per_atom": -61.356, "de_polymorph_mev_per_atom": 0, "e_form_ev_per_atom": 0.0271, "sg": "Imm2, No. 44"}


{"formula": "RbNa2Bi2", "functional": "meta-GGA SCAN", "state": "PBEsol geometry", "cell": [[5.256, 0.000, 0.000], [0.000, 5.256, 0.000], [-2.628, -2.628, 6.656]], "species": ["Na", "Na", "Bi", "Bi", "Rb"], "fractional_positions": [[0.250, 0.750, 0.500], [0.750, 0.250, 0.500], [0.390, 0.390, 0.781], [0.610, 0.610, 0.219], [0.000, 0.000, 0.000]], "energy_ev_per_atom": -37.620, "de_polymorph_mev_per_atom": 0, "e_form_ev_per_atom": -0.3544, "sg": "I4/mmm, No. 139"}


{"formula": "ScCdW3", "functional": "meta-GGA SCAN", "state": "PBEsol geometry", "cell": [[4.598, 0.000, 0.000], [0.000, 4.598, 0.000], [0.000, 0.000, 4.598]], "species": ["Sc", "W", "W", "W", "Cd"], "fractional_positions": [[0.000, 0.000, 0.000], [0.000, 0.500, 0.000], [0.000, 0.000, 0.500], [0.500, 0.000, 0.000], [0.500, 0.500, 0.500]], "energy_ev_per_atom": -48.200, "e_form_ev_per_atom": 2.5432, "sg": "Pm-3m, No. 221"}